The following is a DFT calculation (PBE) of CuPW after structural relaxation.

## Properties
* raw total energy: -0.2609 Ha/atom

Geometry as CIF:
```
data_CuPW
_space_group_name_H-M_alt 'C m c 21'
_space_group_IT_number 36
_space_group_name_Hall 'C 2c -2'
_cell_length_a 2.873
_cell_length_b 12.295
_cell_length_c 5.312
_cell_angle_alpha 90.00
_cell_angle_beta 90.00
_cell_angle_gamma 90.00
loop_
_atom_site_label
_atom_site_type_symbol
_atom_site_fract_x
_atom_site_fract_y
_atom_site_fract_z
Cu1 Cu 0.000 0.190 0.000
P1 P 0.000 0.370 0.946
W1 W 0.000 0.003 0.710
```

=====

The following is a DFT calculation (PBE) of YCu3P after structural relaxation.

## Properties
* raw total energy: -0.1700 Ha/atom

Geometry as CIF:
```
data_YCu3P
_space_group_name_H-M_alt 'P m -3 m'
_space_group_IT_number 221
_space_group_name_Hall '-P 4 2 3'
_cell_length_a 4.385
_cell_length_b 4.385
_cell_length_c 4.385
_cell_angle_alpha 90.00
_cell_angle_beta 90.00
_cell_angle_gamma 90.00
loop_
_atom_site_label
_atom_site_type_symbol
_atom_site_fract_x
_atom_site_fract_y
_atom_site_fract_z
Y1 Y 0.000 0.000 0.000
Cu1 Cu 0.000 0.500 0.500
P1 P 0.500 0.500 0.500
```